VASP calculation (GGA-PBE) on crystalline La5Nd12Dy2 at its relaxed geometry.

Cell and atoms, written as CIF:
```
data_La5Nd12Dy2
_chemical_formula_sum 'La5 Nd12 Dy2'
_space_group_name_H-M_alt 'P 1'
_space_group_IT_number 1
_space_group_name_Hall 'P 1'
_cell_length_a 9.404
_cell_length_b 10.324
_cell_length_c 8.968
_cell_angle_alpha 65.40
_cell_angle_beta 90.00
_cell_angle_gamma 117.09
loop_
_atom_site_label
_atom_site_fract_x
_atom_site_fract_y
_atom_site_fract_z
_atom_site_occupancy
La1 0.237 0.475 0.702 1
La2 0.288 0.577 0.225 1
La3 0.000 0.000 0.500 1
La4 0.712 0.423 0.775 1
La5 0.763 0.525 0.298 1
Nd1 0.953 0.906 0.187 1
Nd2 0.037 0.706 0.909 1
Nd3 0.669 0.706 0.909 1
Nd4 0.155 0.750 0.457 1
Nd5 0.595 0.750 0.457 1
Nd6 0.435 0.870 0.727 1
Nd7 0.565 0.130 0.273 1
Nd8 0.845 0.250 0.543 1
Nd9 0.405 0.250 0.543 1
Nd10 0.963 0.294 0.091 1
Nd11 0.331 0.294 0.091 1
Nd12 0.047 0.094 0.813 1
Dy1 0.673 0.000 0.000 1
Dy2 0.327 0.000 0.000 1
```

Results
space group: No. 12
excess energy over the best structure of this formula in the dataset: 6.8 kJ/mol of atoms
mass density: 6.67 g cm⁻³
spin magnetization: 0.00 Bohr magnetons per cell
electronic total energy: -4.6115 eV per atom
energy of formation: 181 meV/atom



VASP calculation (GGA-PBE) on crystalline La2Nd6Dy at its relaxed geometry.

Cell and atoms, written as CIF:
```
data_La2Nd6Dy
_chemical_formula_sum 'La2 Nd6 Dy1'
_space_group_name_H-M_alt 'P 1'
_space_group_IT_number 1
_space_group_name_Hall 'P 1'
_cell_length_a 3.674
_cell_length_b 3.674
_cell_length_c 27.432
_cell_angle_alpha 90.00
_cell_angle_beta 90.00
_cell_angle_gamma 120.00
loop_
_atom_site_label
_atom_site_fract_x
_atom_site_fract_y
_atom_site_fract_z
_atom_site_occupancy
La1 0.667 0.333 0.329 1
La2 0.667 0.333 0.671 1
Nd1 0.667 0.333 0.894 1
Nd2 0.333 0.667 0.438 1
Nd3 0.333 0.667 0.785 1
Nd4 0.333 0.667 0.215 1
Nd5 0.333 0.667 0.562 1
Nd6 0.667 0.333 0.106 1
Dy1 0.333 0.667 0.000 1
```

Results
space group: No. 187
excess energy over the best structure of this formula in the dataset: 3.8 kJ/mol of atoms
mass density: 6.76 g cm⁻³
spin magnetization: 0.00 Bohr magnetons per cell
electronic total energy: -4.7252 eV per atom
energy of formation: 60 meV/atom